[1]
Computed, not measured: PrSi2AgPd5 after structural relaxation at the GGA-PBE level of DFT.

Lattice parameters (Å, degrees): 4.169 4.169 9.054 90.00 90.00 90.00
Fractional positions:
1 Pd 0.500 0.000 0.256
2 Pd 0.000 0.500 0.744
3 Pd 0.500 0.500 0.500
4 Pd 0.000 0.500 0.256
5 Pd 0.500 0.000 0.744
6 Ag 0.000 0.000 0.000
7 Pr 0.000 0.000 0.500
8 Si 0.500 0.500 0.873
9 Si 0.500 0.500 0.127

Computed properties:
Space group: P4/mmm, No. 123
Formation energy from raw total energies (eV/atom): -0.56
Density of states at the Fermi level (states/eV/f.u.): 3.661


[2]
Computed, not measured: CaUP2Rh5 after structural relaxation at the GGA-PBE level of DFT.

Lattice parameters (Å, degrees): 4.007 4.007 10.731 90.00 90.00 90.00
Fractional positions:
1 U 0.000 0.000 0.000
2 Rh 0.500 0.000 0.178
3 Rh 0.500 0.000 0.822
4 Rh 0.000 0.500 0.822
5 Rh 0.000 0.000 0.500
6 Rh 0.000 0.500 0.178
7 P 0.000 0.000 0.709
8 P 0.000 0.000 0.291
9 Ca 0.500 0.500 0.500

Computed properties:
Space group: P4/mmm, No. 123
Calculated total energy (eV per atom): -7.25
Density of states at the Fermi level (states/eV/f.u.): 7.683


[3]
Computed, not measured: LiCuO after structural relaxation at the GGA-PBE level of DFT.

Lattice parameters (Å, degrees): 4.929 4.929 4.904 90.00 90.00 138.85
Fractional positions:
1 Li 0.270 0.730 0.250
2 Li 0.730 0.270 0.750
3 Cu 0.000 0.000 0.500
4 Cu 0.000 0.000 0.000
5 O 0.150 0.850 0.750
6 O 0.850 0.150 0.250

Computed properties:
Space group: Cmcm, No. 63
Formation energy from raw total energies (eV/atom): -1.10


[4]
Computed, not measured: Ag2Te2Br after structural relaxation at the GGA-PBE level of DFT.

Lattice parameters (Å, degrees): 6.233 7.974 8.906 80.91 59.69 51.79
Fractional positions:
1 Br 0.700 0.807 0.289
2 Br 0.300 0.193 0.711
3 Te 0.483 0.440 0.221
4 Te 0.517 0.560 0.779
5 Te 0.954 0.845 0.776
6 Te 0.046 0.155 0.224
7 Ag 0.066 0.158 0.531
8 Ag 0.658 0.675 0.002
9 Ag 0.342 0.325 0.998
10 Ag 0.934 0.842 0.469

Computed properties:
Space group: P-1, No. 2
Formation energy from raw total energies (eV/atom): -0.10
Density of states at the Fermi level (states/eV/f.u.): 1.411
Relative energy among the computed polymorphs (eV/atom): 0.000


[5]
Computed, not measured: CsRbZnH4 after structural relaxation at the GGA-PBE level of DFT.

Lattice parameters (Å, degrees): 6.130 6.130 9.498 90.00 90.00 122.09
Fractional positions:
1 Cs 0.500 0.500 0.500
2 Cs 0.500 0.500 0.000
3 H 0.229 0.771 0.394
4 H 0.275 0.177 0.250
5 H 0.823 0.725 0.250
6 H 0.725 0.823 0.750
7 H 0.177 0.275 0.750
8 H 0.771 0.229 0.894
9 H 0.229 0.771 0.106
10 H 0.771 0.229 0.606
11 Rb 0.804 0.196 0.250
12 Rb 0.196 0.804 0.750
13 Zn 0.140 0.860 0.250
14 Zn 0.860 0.140 0.750

Computed properties:
Space group: Cmcm, No. 63
Calculated total energy (eV per atom): -2.58
Density of states at the Fermi level (states/eV/f.u.): 0.000


[6]
Computed, not measured: Tb4Cd after structural relaxation at the GGA-PBE level of DFT.

Lattice parameters (Å, degrees): 6.832 6.064 9.491 78.61 68.90 56.73
Fractional positions:
1 Tb 0.235 0.128 0.166
2 Tb 0.765 0.872 0.834
3 Tb 0.401 0.628 0.834
4 Tb 0.553 0.737 0.422
5 Tb 0.447 0.263 0.578
6 Tb 0.976 0.237 0.578
7 Tb 0.599 0.372 0.166
8 Tb 0.024 0.763 0.422
9 Cd 0.941 0.750 0.118
10 Cd 0.059 0.250 0.882

Computed properties:
Space group: C2/c, No. 15
Density of states at the Fermi level (states/eV/f.u.): 6.046
Relative energy among the computed polymorphs (eV/atom): 0.142


[7]
Computed, not measured: Pm2Nd2Sc after structural relaxation at the GGA-PBE level of DFT.

Lattice parameters (Å, degrees): 6.371 6.371 9.226 107.68 109.36 94.59
Fractional positions:
1 Pm 0.195 0.324 0.457
2 Pm 0.867 0.238 0.043
3 Pm 0.133 0.762 0.957
4 Pm 0.805 0.676 0.543
5 Sc 0.321 0.071 0.750
6 Sc 0.679 0.929 0.250
7 Nd 0.560 0.633 0.844
8 Nd 0.789 0.216 0.656
9 Nd 0.211 0.784 0.344
10 Nd 0.440 0.367 0.156

Computed properties:
Space group: C2/c, No. 15
Density of states at the Fermi level (states/eV/f.u.): 7.953
Relative energy among the computed polymorphs (eV/atom): 0.000


[8]
Computed, not measured: Tb2Sm3Ru2 after structural relaxation at the GGA-PBE level of DFT.

Lattice parameters (Å, degrees): 3.929 6.367 8.628 112.20 90.00 107.97
Fractional positions:
1 Sm 0.500 0.000 0.000
2 Sm 0.380 0.760 0.573
3 Sm 0.620 0.240 0.427
4 Tb 0.832 0.664 0.187
5 Tb 0.168 0.336 0.813
6 Ru 0.182 0.363 0.223
7 Ru 0.818 0.637 0.777

Computed properties:
Space group: C2/m, No. 12
Calculated total energy (eV per atom): -6.26
Density of states at the Fermi level (states/eV/f.u.): 5.432